First-principles (PBE-GGA) data for a geometry-optimized Tm8Sn3GeTe4 structure, as listed in Alexandria.

a b c (Å): 8.6675 8.6675 8.6675
angles (deg): 59.63 59.63 59.63
With the nearest neighbours (Å) after each atom.
Fractional positions:
Tm: 0.2454 0.2454 0.2454  3 Sn 3.00, 3 Te 3.11
Tm: 0.2527 0.7373 0.7373  1 Ge 2.90, 2 Sn 3.00, 3 Te 3.12-3.21
Tm: 0.2627 0.2627 0.7473  1 Ge 2.90, 2 Sn 3.00, 3 Te 3.12-3.21
Tm: 0.2627 0.7473 0.2627  1 Ge 2.90, 2 Sn 3.00, 3 Te 3.12-3.21
Tm: 0.7373 0.2527 0.7373  1 Ge 2.90, 2 Sn 3.00, 3 Te 3.12-3.21
Tm: 0.7373 0.7373 0.2527  1 Ge 2.90, 2 Sn 3.00, 3 Te 3.12-3.21
Tm: 0.7473 0.2627 0.2627  1 Ge 2.90, 2 Sn 3.00, 3 Te 3.12-3.21
Tm: 0.7546 0.7546 0.7546  3 Sn 3.00, 3 Te 3.11
Sn: 0.0000 0.0000 0.5000  6 Tm 3.00
Sn: 0.0000 0.5000 0.0000  6 Tm 3.00
Sn: 0.5000 0.0000 0.0000  6 Tm 3.00
Ge: 0.5000 0.5000 0.5000  6 Tm 2.90
Te: 0.0000 0.0000 0.0000  6 Tm 3.21
Te: 0.0000 0.5000 0.5000  6 Tm 3.11-3.12
Te: 0.5000 0.0000 0.5000  6 Tm 3.11-3.12
Te: 0.5000 0.5000 0.0000  6 Tm 3.11-3.12

## Properties
DOS(E_F) = 0.227 states/eV per atom
Formation energy from raw total energies = -1003.2 meV per atom
SG = R-3m, No. 166
Calculated total energy = -5.063 eV per atom


First-principles (PBE-GGA) data for a geometry-optimized TbY7Tm2 structure, as listed in Alexandria.

a b c (Å): 9.0711 9.0711 5.6351
angles (deg): 90.00 90.00 121.85
With the nearest neighbours (Å) after each atom.
Fractional positions:
Tb: 0.0000 0.0000 0.0000  10 Y 3.52-3.71
Y: 0.0617 0.2937 0.5000  2 Y 3.13-3.39, 2 Tm 3.17-3.26
Y: 0.2219 0.7781 0.0000  2 Tm 3.05
Y: 0.2937 0.0617 0.5000  2 Y 3.13-3.39, 2 Tm 3.17-3.26
Y: 0.5000 0.5000 0.5000  2 Tm 3.23, 4 Y 3.39
Y: 0.7063 0.9383 0.5000  2 Y 3.13-3.39, 2 Tm 3.17-3.26
Y: 0.7781 0.2219 0.0000  2 Tm 3.05
Y: 0.9383 0.7063 0.5000  2 Y 3.13-3.39, 2 Tm 3.17-3.26
Tm: 0.2960 0.7040 0.5000  7 Y 3.05-3.26
Tm: 0.7040 0.2960 0.5000  7 Y 3.05-3.26

## Properties
DOS(E_F) = 1.467 states/eV per atom
SG = Cmmm, No. 65
ΔH_f (0 K) = 0.6983 eV/atom
Calculated total energy = -5.184 eV per atom
E above lowest polymorph = 4.80 eV/f.u.


First-principles (PBE-GGA) data for a geometry-optimized PaBSb structure, as listed in Alexandria.

a b c (Å): 7.1356 7.1356 7.1356
angles (deg): 144.31 144.31 51.36
With the nearest neighbours (Å) after each atom.
Fractional positions:
Pa: 0.1116 0.1116 0.0000  4 B 2.62, 1 Pa 2.87
Pa: 0.8884 0.8884 0.0000  4 B 2.62, 1 Pa 2.87
B: 0.0000 0.5000 0.5000  4 Pa 2.62, 4 Sb 2.88
B: 0.5000 0.0000 0.5000  4 Pa 2.62, 4 Sb 2.88
Sb: 0.3548 0.3548 0.0000  4 B 2.88, 5 Pa 3.12-3.13
Sb: 0.6452 0.6452 0.0000  4 B 2.88, 5 Pa 3.12-3.13

## Properties
DOS(E_F) = 0.880 states/eV per atom
Formation energy from raw total energies = 1.7 meV per atom
SG = I4/mmm, No. 139
Calculated total energy = -6.764 eV per atom


First-principles (PBE-GGA) data for a geometry-optimized RbHW3 structure, as listed in Alexandria.

a b c (Å): 4.7182 4.7182 4.7182
angles (deg): 90.00 90.00 90.00
With the nearest neighbours (Å) after each atom.
Fractional positions:
Rb: 0.0000 0.0000 0.0000  6 W 2.36
H: 0.5000 0.5000 0.5000  12 W 3.34
W: 0.0000 0.0000 0.5000  2 Rb 2.36
W: 0.0000 0.5000 0.0000  2 Rb 2.36
W: 0.5000 0.0000 0.0000  2 Rb 2.36

## Properties
DOS(E_F) = 0.829 states/eV per atom
SG = Pm-3m, No. 221
Calculated total energy = -3.956 eV per atom
E above lowest polymorph = 13.05 eV/f.u.


First-principles (PBE-GGA) data for a geometry-optimized LiRuPb structure, as listed in Alexandria.

a b c (Å): 3.1653 3.1653 6.6464
angles (deg): 90.00 90.00 120.00
With the nearest neighbours (Å) after each atom.
Fractional positions:
Li: 0.0000 0.0000 0.0000  3 Ru 2.70
Ru: 0.3333 0.6667 0.7006  3 Li 2.70, 3 Pb 2.79
Pb: 0.6667 0.3333 0.3830  3 Ru 2.79

## Properties
DOS(E_F) = 1.115 states/eV per atom
SG = P3m1, No. 156
ΔH_f (0 K) = 0.4360 eV/atom
Calculated total energy = -4.530 eV per atom
E above lowest polymorph = 0.78 eV/f.u.


First-principles (PBE-GGA) data for a geometry-optimized TaIrPt2 structure, as listed in Alexandria.

a b c (Å): 4.8752 4.8752 2.8420
angles (deg): 90.00 90.00 110.90
With the nearest neighbours (Å) after each atom.
Fractional positions:
Ta: 0.0000 0.0000 0.0000  2 Ir 2.77, 8 Pt 2.82, 2 Ta 2.84
Ir: 0.5000 0.5000 0.0000  2 Ta 2.77, 8 Pt 2.82, 2 Ir 2.84
Pt: 0.0000 0.5000 0.5000  4 Pt 2.77-2.84, 4 Ta 2.82, 4 Ir 2.82
Pt: 0.5000 0.0000 0.5000  4 Pt 2.77-2.84, 4 Ta 2.82, 4 Ir 2.82

## Properties
DOS(E_F) = 0.941 states/eV per atom
SG = Cmmm, No. 65
ΔH_f (0 K) = -0.3872 eV/atom
Calculated total energy = -8.586 eV per atom
E above lowest polymorph = 0.98 eV/f.u.


First-principles (PBE-GGA) data for a geometry-optimized BaSc4Br structure, as listed in Alexandria.

a b c (Å): 6.4668 6.4668 6.4668
angles (deg): 60.00 60.00 60.00
With the nearest neighbours (Å) after each atom.
Fractional positions:
Ba: 0.0000 0.0000 0.0000  12 Sc 3.79, 4 Br 3.96
Sc: 0.3728 0.3728 0.3728  6 Sc 3.18-3.29
Sc: 0.3728 0.3728 0.8816  6 Sc 3.18-3.29
Sc: 0.3728 0.8816 0.3728  6 Sc 3.18-3.29
Sc: 0.8816 0.3728 0.3728  6 Sc 3.18-3.29
Br: 0.7500 0.7500 0.7500  12 Sc 3.80, 4 Ba 3.96

## Properties
DOS(E_F) = 2.125 states/eV per atom
Formation energy from raw total energies = 336.3 meV per atom
SG = F-43m, No. 216
Calculated total energy = -4.484 eV per atom


First-principles (PBE-GGA) data for a geometry-optimized VZn2SeS structure, as listed in Alexandria.

a b c (Å): 4.8237 4.8237 4.6345
angles (deg): 90.00 90.00 90.00
With the nearest neighbours (Å) after each atom.
Fractional positions:
V: 0.0000 0.0000 0.0000  2 Se 2.32
Zn: 0.0000 0.5000 0.5000  2 Se 2.41
Zn: 0.5000 0.0000 0.5000  2 Se 2.41
Se: 0.0000 0.0000 0.5000  2 V 2.32, 4 Zn 2.41
S: 0.5000 0.5000 0.0000  8 Zn 3.34, 4 V 3.41

## Properties
DOS(E_F) = 1.140 states/eV per atom
Formation energy from raw total energies = 660.6 meV per atom
SG = P4/mmm, No. 123
Calculated total energy = -3.195 eV per atom


First-principles (PBE-GGA) data for a geometry-optimized La2Er2Tm15 structure, as listed in Alexandria.

a b c (Å): 8.6393 8.6393 8.6393
angles (deg): 79.95 79.95 79.95
With the nearest neighbours (Å) after each atom.
Fractional positions:
La: 0.1178 0.1178 0.1178  6 Tm 3.32-3.59, 1 Er 3.70
La: 0.8822 0.8822 0.8822  6 Tm 3.32-3.59, 1 Er 3.70
Er: 0.3309 0.3309 0.3309  1 La 3.70, 12 Tm 3.85-4.11
Er: 0.6691 0.6691 0.6691  1 La 3.70, 12 Tm 3.85-4.11
Tm: 0.0000 0.0000 0.5000  8 Tm 3.31-3.37, 2 La 3.32
Tm: 0.0000 0.3071 0.6929  6 Tm 3.24-3.41
Tm: 0.0000 0.5000 0.0000  8 Tm 3.31-3.37, 2 La 3.32
Tm: 0.0000 0.6929 0.3071  6 Tm 3.24-3.41
Tm: 0.1541 0.6324 0.6324  6 Tm 3.21-3.31
Tm: 0.3071 0.0000 0.6929  6 Tm 3.24-3.41
Tm: 0.3071 0.6929 0.0000  6 Tm 3.24-3.41
Tm: 0.3676 0.3676 0.8459  6 Tm 3.21-3.31
Tm: 0.3676 0.8459 0.3676  6 Tm 3.21-3.31
Tm: 0.5000 0.0000 0.0000  8 Tm 3.31-3.37, 2 La 3.32
Tm: 0.6324 0.1541 0.6324  6 Tm 3.21-3.31
Tm: 0.6324 0.6324 0.1541  6 Tm 3.21-3.31
Tm: 0.6929 0.0000 0.3071  6 Tm 3.24-3.41
Tm: 0.6929 0.3071 0.0000  6 Tm 3.24-3.41
Tm: 0.8459 0.3676 0.3676  6 Tm 3.21-3.31

## Properties
DOS(E_F) = 1.661 states/eV per atom
SG = R-3m, No. 166
ΔH_f (0 K) = 0.2908 eV/atom
Calculated total energy = -4.238 eV per atom


First-principles (PBE-GGA) data for a geometry-optimized AgRuW structure, as listed in Alexandria.

a b c (Å): 2.8033 2.8033 7.0598
angles (deg): 90.00 90.00 120.00
With the nearest neighbours (Å) after each atom.
Fractional positions:
Ag: 0.0000 0.0000 0.0000  6 Ag 2.80, 3 Ru 2.95, 3 W 2.99
Ru: 0.3333 0.6667 0.3487  3 W 2.64, 6 Ru 2.80, 3 Ag 2.95
W: 0.6667 0.3333 0.6439  3 Ru 2.64, 6 W 2.80

## Properties
DOS(E_F) = 0.761 states/eV per atom
SG = P3m1, No. 156
ΔH_f (0 K) = 0.3069 eV/atom
Calculated total energy = -8.053 eV per atom
E above lowest polymorph = 0.00 eV/f.u.


First-principles (PBE-GGA) data for a geometry-optimized InHgBiPt2 structure, as listed in Alexandria.

a b c (Å): 5.1554 5.1554 6.0549
angles (deg): 90.00 90.00 90.00
With the nearest neighbours (Å) after each atom.
Fractional positions:
In: 0.0000 0.0000 0.0000  2 Bi 3.03
Hg: 0.5000 0.5000 0.0000  4 In 3.65, 8 Pt 3.98
Bi: 0.0000 0.0000 0.5000  4 Pt 2.58
Pt: 0.0000 0.5000 0.5000  2 Bi 2.58
Pt: 0.5000 0.0000 0.5000  2 Bi 2.58

## Properties
DOS(E_F) = 0.994 states/eV per atom
SG = P4/mmm, No. 123
ΔH_f (0 K) = 0.7258 eV/atom
Calculated total energy = -3.075 eV per atom


First-principles (PBE-GGA) data for a geometry-optimized ReHgO3 structure, as listed in Alexandria.

a b c (Å): 4.1412 4.1412 4.1412
angles (deg): 90.00 90.00 90.00
With the nearest neighbours (Å) after each atom.
Fractional positions:
Re: 0.0000 0.0000 0.0000  12 O 2.93
Hg: 0.5000 0.5000 0.5000  6 O 2.07
O: 0.0000 0.5000 0.5000  2 Hg 2.07
O: 0.5000 0.0000 0.5000  2 Hg 2.07
O: 0.5000 0.5000 0.0000  2 Hg 2.07

## Properties
DOS(E_F) = 0.707 states/eV per atom
Formation energy from raw total energies = 1251.5 meV per atom
SG = Pm-3m, No. 221
Calculated total energy = -4.273 eV per atom